[1]
First-principles (GGA-PBEsol) data for crystalline Li2ZnW at its relaxed geometry, as listed in the Alexandria database.

Lattice parameters (Å, degrees): 2.901 4.310 9.411 90.00 90.00 90.00
Space group Cmmm (No. 65)
Asymmetric unit:
Li  0.000  0.000  0.245 (multiplicity 4)
Zn  0.000  0.500  0.000 (multiplicity 2)
W  0.000  0.500  0.500 (multiplicity 2)

Results
Its calculated formation energy is 0.84 eV per formula unit. For the calculated volume, the calculation gives 14.71 A^3/atom.

---

[2]
First-principles (GGA-PBEsol) data for crystalline LiZn2W at its relaxed geometry, as listed in the Alexandria database.

Lattice parameters (Å, degrees): 8.803 2.552 5.182 90.00 96.61 90.00
Space group C2/m (No. 12)
Asymmetric unit:
Li  0.000  0.000  0.000 (multiplicity 2)
Zn  0.249  0.000  0.750 (multiplicity 4)
W  0.000  0.500  0.500 (multiplicity 2)

Results
Its calculated formation energy is 1.40 eV per formula unit. As for the energy above the most stable polymorph in this dataset: 0.269 eV per atom. For the calculated volume, the calculation gives 14.45 A^3/atom.

---

[3]
First-principles (GGA-PBEsol) data for crystalline Li2ZnW at its relaxed geometry, as listed in the Alexandria database.

Lattice parameters (Å, degrees): 2.6747 2.6747 28.6714 90.00 90.00 120.00
Space group R-3m (No. 166, hexagonal axes)
Asymmetric unit:
Li  0.0000  0.0000  0.2488 (multiplicity 6)
Zn  0.0000  0.0000  0.5000 (multiplicity 3)
W  0.0000  0.0000  0.0000 (multiplicity 3)

Results
Its calculated formation energy is 0.93 eV per formula unit. For the calculated volume, the calculation gives 14.80 A^3/atom.

---

[4]
First-principles (GGA-PBEsol) data for crystalline Li2ZrW at its relaxed geometry, as listed in the Alexandria database.

Lattice parameters (Å, degrees): 2.653 5.157 5.098 90.00 98.60 90.00
Space group P2/m (No. 10)
Asymmetric unit:
Li  0.245  0.000  0.227 (multiplicity 2)
Zr  0.000  0.500  0.500 (multiplicity 1)
W  0.500  0.500  0.000 (multiplicity 1)

Results
Its calculated formation energy is 1.67 eV per formula unit. As for the energy above the most stable polymorph in this dataset: 0.000 eV per atom. For the calculated volume, the calculation gives 17.24 A^3/atom.

---

[5]
First-principles (GGA-PBEsol) data for crystalline Li2ZrW at its relaxed geometry, as listed in the Alexandria database.

Lattice parameters (Å, degrees): 3.754 3.754 4.898 90.00 90.00 90.00
Space group P4/mmm (No. 123)
Asymmetric unit:
Li  0.000  0.500  0.000 (multiplicity 2)
Zr  0.000  0.000  0.500 (multiplicity 1)
W  0.500  0.500  0.500 (multiplicity 1)

Results
Its calculated formation energy is 2.46 eV per formula unit. As for the energy above the most stable polymorph in this dataset: 0.196 eV per atom. For the calculated volume, the calculation gives 17.26 A^3/atom.

---

[6]
First-principles (GGA-PBEsol) data for crystalline Li2ZrW at its relaxed geometry, as listed in the Alexandria database.

Lattice parameters (Å, degrees): 10.102 2.717 5.349 90.00 113.60 90.00
Space group Cm (No. 8)
Asymmetric unit:
Li  0.000  0.000  0.000 (multiplicity 2)
Li  0.241  0.500  0.074 (multiplicity 2)
Zr  0.002  0.500  0.493 (multiplicity 2)
W  0.259  0.000  0.595 (multiplicity 2)

Results
Its calculated formation energy is 1.97 eV per formula unit. As for the energy above the most stable polymorph in this dataset: 0.074 eV per atom. For the calculated volume, the calculation gives 16.81 A^3/atom.

---

[7]
First-principles (GGA-PBEsol) data for crystalline LiZrW3 at its relaxed geometry, as listed in the Alexandria database.

Lattice parameters (Å, degrees): 4.314 4.314 4.314 90.00 90.00 90.00
Space group Pm-3m (No. 221)
Asymmetric unit:
Li  0.000  0.000  0.000 (multiplicity 1)
Zr  0.500  0.500  0.500 (multiplicity 1)
W  0.000  0.000  0.500 (multiplicity 3)

Results
Its calculated formation energy is 6.58 eV per formula unit. For the calculated volume, the calculation gives 16.06 A^3/atom.

---

[8]
First-principles (GGA-PBEsol) data for crystalline Li2ZrW at its relaxed geometry, as listed in the Alexandria database.

Lattice parameters (Å, degrees): 3.011 4.453 10.484 90.00 90.00 90.00
Space group Immm (No. 71)
Asymmetric unit:
Li  0.000  0.000  0.236 (multiplicity 4)
Zr  0.000  0.500  0.000 (multiplicity 2)
W  0.000  0.500  0.500 (multiplicity 2)

Results
Its calculated formation energy is 1.73 eV per formula unit. As for the energy above the most stable polymorph in this dataset: 0.015 eV per atom. For the calculated volume, the calculation gives 17.57 A^3/atom.

---

[9]
First-principles (GGA-PBEsol) data for crystalline Li2ZrW at its relaxed geometry, as listed in the Alexandria database.

Lattice parameters (Å, degrees): 2.582 4.570 5.959 90.00 102.42 90.00
Space group Pm (No. 6)
Asymmetric unit:
Li  0.000  0.000  0.000 (multiplicity 1)
Li  0.108  0.500  0.231 (multiplicity 1)
Zr  0.352  0.500  0.712 (multiplicity 1)
W  0.734  0.000  0.478 (multiplicity 1)

Results
Its calculated formation energy is 1.82 eV per formula unit. As for the energy above the most stable polymorph in this dataset: 0.036 eV per atom. For the calculated volume, the calculation gives 17.17 A^3/atom.

---

[10]
First-principles (GGA-PBEsol) data for crystalline LiY at its relaxed geometry, as listed in the Alexandria database.

Lattice parameters (Å, degrees): 3.4219 3.4219 31.5940 90.00 90.00 120.00
Space group R-3m (No. 166, hexagonal axes)
Asymmetric unit:
Li  0.0000  0.0000  0.1298 (multiplicity 6)
Y  0.0000  0.0000  0.3777 (multiplicity 6)

Results
Its calculated formation energy is 0.18 eV per formula unit. As for the energy above the most stable polymorph in this dataset: 0.022 eV per atom. For the calculated volume, the calculation gives 26.70 A^3/atom.

---

[11]
First-principles (GGA-PBEsol) data for crystalline LiY8 at its relaxed geometry, as listed in the Alexandria database.

Lattice parameters (Å, degrees): 10.417 10.417 4.957 90.00 90.00 90.00
Space group I4/mmm (No. 139)
Asymmetric unit:
Li  0.000  0.000  0.000 (multiplicity 2)
Y  0.000  0.334  0.000 (multiplicity 8)
Y  0.168  0.168  0.500 (multiplicity 8)

Results
Its calculated formation energy is 0.79 eV per formula unit. For the calculated volume, the calculation gives 29.88 A^3/atom.

---

[12]
First-principles (GGA-PBEsol) data for crystalline LiY5 at its relaxed geometry, as listed in the Alexandria database.

Lattice parameters (Å, degrees): 3.549 3.549 13.692 90.00 90.00 90.00
Space group P4/mmm (No. 123)
Asymmetric unit:
Li  0.000  0.000  0.000 (multiplicity 1)
Y  0.000  0.000  0.320 (multiplicity 2)
Y  0.500  0.500  0.143 (multiplicity 2)
Y  0.500  0.500  0.500 (multiplicity 1)

Results
Its calculated formation energy is 0.34 eV per formula unit. As for the energy above the most stable polymorph in this dataset: 0.000 eV per atom. For the calculated volume, the calculation gives 28.74 A^3/atom.

---

[13]
First-principles (GGA-PBEsol) data for crystalline LiY at its relaxed geometry, as listed in the Alexandria database.

Lattice parameters (Å, degrees): 3.635 3.635 7.640 90.00 90.00 90.00
Space group P4/nmm (No. 129, origin choice 2)
Asymmetric unit:
Li  0.250  0.250  0.088 (multiplicity 2)
Y  0.250  0.250  0.647 (multiplicity 2)

Results
Its calculated formation energy is 0.13 eV per formula unit. As for the energy above the most stable polymorph in this dataset: 0.000 eV per atom. For the calculated volume, the calculation gives 25.24 A^3/atom.

---

[14]
First-principles (GGA-PBEsol) data for crystalline LiY5 at its relaxed geometry, as listed in the Alexandria database.

Lattice parameters (Å, degrees): 5.573 3.555 17.841 90.00 90.00 90.00
Space group Amm2 (No. 38)
Asymmetric unit:
Li  0.000  0.000  0.000 (multiplicity 2)
Y  0.000  0.000  0.334 (multiplicity 2)
Y  0.000  0.000  0.663 (multiplicity 2)
Y  0.500  0.000  0.114 (multiplicity 2)
Y  0.500  0.000  0.452 (multiplicity 2)
Y  0.500  0.000  0.782 (multiplicity 2)

Results
Its calculated formation energy is 0.59 eV per formula unit. As for the energy above the most stable polymorph in this dataset: 0.042 eV per atom. For the calculated volume, the calculation gives 29.46 A^3/atom.

---

[15]
First-principles (GGA-PBEsol) data for crystalline LiY3 at its relaxed geometry, as listed in the Alexandria database.

Lattice parameters (Å, degrees): 3.700 5.410 11.105 90.00 90.00 90.00
Space group Immm (No. 71)
Asymmetric unit:
Li  0.000  0.000  0.000 (multiplicity 2)
Y  0.000  0.000  0.500 (multiplicity 2)
Y  0.000  0.500  0.276 (multiplicity 4)

Results
Its calculated formation energy is 0.30 eV per formula unit. As for the energy above the most stable polymorph in this dataset: 0.004 eV per atom. For the calculated volume, the calculation gives 27.79 A^3/atom.